# 1
The following is a DFT calculation (SCAN) of Ba4ReAu at its PBEsol-relaxed geometry.

Results
Total magnetization: 7.47 μB per cell
Energy relative to the elements: 1.25 eV/atom
Crystal system: cubic
Density of states at the Fermi level: 0.8839 states/eV/atom

Cell lengths 9.336, 9.336, 9.336 Å; angles 90.00, 90.00, 90.00 degrees
Space group F-43m (No. 216)
One atom of each set of equivalent atoms:
Ba 0.125 0.125 0.125 [16 per cell]
Re 0.250 0.250 0.750 [4 per cell]
Au 0.000 0.000 0.500 [4 per cell]

# 2
The following is a DFT calculation (SCAN) of Ba2ReAu at its PBEsol-relaxed geometry.

Results
ΔE to the lowest computed polymorph: 360.8 meV per atom
Total magnetization: 0.00 μB per cell
Energy relative to the elements: 0.79 eV/atom
Crystal system: orthorhombic
Density of states at the Fermi level: 0.8878 states/eV/atom

Cell lengths 3.111, 5.777, 6.187 Å; angles 90.00, 90.00, 90.00 degrees
Space group Pmm2 (No. 25)
One atom of each set of equivalent atoms:
Ba 0.000 0.000 0.000 [1 per cell]
Ba 0.500 0.500 0.497 [1 per cell]
Re 0.000 0.000 0.500 [1 per cell]
Au 0.500 0.500 0.997 [1 per cell]

The lowest total magnetization belongs to which entry? Ba2ReAu